Computed, not measured: an optimized crystal structure of PmIr2Pt at the PBE level of DFT.

a = 4.1325 Å, b = 4.1325 Å, c = 4.1341 Å
α = 90.00°, β = 90.00°, γ = 90.00°
Space group P4/mmm (No. 123)
Asymmetric unit:
Pm (0.0000, 0.0000, 0.0000) [1 per cell]
Ir (0.0000, 0.5000, 0.5000) [2 per cell]
Pt (0.5000, 0.5000, 0.0000) [1 per cell]

Properties
* energy relative to the elements: -0.403 eV/atom
* spin magnetization: 0.00 μB per atom
* electronic total energy: -7.53 eV/atom